No. 1
The following is a DFT calculation (GGA-PBE) of MgZnSe2 after structural relaxation.

Summary:
Magnetization: 0.000 Bohr magnetons per cell
E: -3.26 eV per atom
Formation energy from raw total energies: -0.80 eV/atom
Density of states at the Fermi level: 0.00 states/eV per cell

Cell and atoms, written as CIF:
```
data_MgZnSe2
_chemical_formula_sum 'Mg2 Zn2 Se4'
_cell_length_a 6.675
_cell_length_b 3.845
_cell_length_c 6.675
_cell_angle_alpha 90.00
_cell_angle_beta 109.64
_cell_angle_gamma 90.00
_space_group_name_H-M_alt 'C 1 2/m 1'
_space_group_IT_number 12
loop_
_space_group_symop_operation_xyz
'x,y,z'
'-x,-y,-z'
'-x,y,-z'
'x,-y,z'
'x+1/2,y+1/2,z'
'-x+1/2,-y+1/2,-z'
'-x+1/2,y+1/2,-z'
'x+1/2,-y+1/2,z'
loop_
_atom_site_label
_atom_site_fract_x
_atom_site_fract_y
_atom_site_fract_z
_atom_site_occupancy
Mg1 0.000 0.000 0.000 1
Zn1 0.000 0.500 0.500 1
Se1 0.245 0.000 0.742 1
```

No. 2
The following is a DFT calculation (GGA-PBE) of Li3HfTi2Te6 after structural relaxation.

Summary:
Magnetization: 5.414 Bohr magnetons per cell
E: -5.01 eV per atom
Formation energy from raw total energies: -0.81 eV/atom
Density of states at the Fermi level: 7.44 states/eV per cell

Cell and atoms, written as CIF:
```
data_Li3HfTi2Te6
_chemical_formula_sum 'Li6 Hf2 Ti4 Te12'
_cell_length_a 6.913
_cell_length_b 12.028
_cell_length_c 7.437
_cell_angle_alpha 90.00
_cell_angle_beta 107.94
_cell_angle_gamma 90.00
_space_group_name_H-M_alt 'C 1 2/m 1'
_space_group_IT_number 12
loop_
_space_group_symop_operation_xyz
'x,y,z'
'-x,-y,-z'
'-x,y,-z'
'x,-y,z'
'x+1/2,y+1/2,z'
'-x+1/2,-y+1/2,-z'
'-x+1/2,y+1/2,-z'
'x+1/2,-y+1/2,z'
loop_
_atom_site_label
_atom_site_fract_x
_atom_site_fract_y
_atom_site_fract_z
_atom_site_occupancy
Li1 0.000 0.000 0.000 1
Li2 0.000 0.349 0.000 1
Hf1 0.000 0.500 0.500 1
Ti1 0.000 0.183 0.500 1
Te1 0.230 0.000 0.727 1
Te2 0.246 0.167 0.253 1
```

No. 3
The following is a DFT calculation (GGA-PBE) of Ac2CuP3Ir4 after structural relaxation.

Summary:
Magnetization: 0.000 Bohr magnetons per cell
E: -7.17 eV per atom
ΔE_f: -0.770 eV/atom
Density of states at the Fermi level: 4.42 states/eV per cell

Cell and atoms, written as CIF:
```
data_Ac2CuP3Ir4
_chemical_formula_sum 'Ac2 Cu1 P3 Ir4'
_cell_length_a 4.235
_cell_length_b 4.235
_cell_length_c 10.047
_cell_angle_alpha 90.00
_cell_angle_beta 90.00
_cell_angle_gamma 90.00
_space_group_name_H-M_alt 'P -4 m 2'
_space_group_IT_number 115
loop_
_space_group_symop_operation_xyz
'x,y,z'
'y,-x,-z'
'-x,-y,z'
'-y,x,-z'
'-x,y,z'
'-y,-x,-z'
'x,-y,z'
'y,x,-z'
loop_
_atom_site_label
_atom_site_fract_x
_atom_site_fract_y
_atom_site_fract_z
_atom_site_occupancy
Ac1 0.000 0.500 0.241 1
Cu1 0.500 0.500 0.000 1
P1 0.000 0.000 0.000 1
P2 0.000 0.500 0.635 1
Ir1 0.000 0.000 0.500 1
Ir2 0.000 0.500 0.870 1
Ir3 0.500 0.500 0.500 1
```

No. 4
The following is a DFT calculation (GGA-PBE) of KRbZrI2 after structural relaxation.

Summary:
Magnetization: 3.564 Bohr magnetons per cell
E: -2.43 eV per atom
Formation energy from raw total energies: 0.32 eV/atom
Density of states at the Fermi level: 6.82 states/eV per cell

Cell and atoms, written as CIF:
```
data_KRbZrI2
_chemical_formula_sum 'K1 Rb1 Zr1 I2'
_cell_length_a 6.407
_cell_length_b 6.407
_cell_length_c 6.544
_cell_angle_alpha 90.00
_cell_angle_beta 90.00
_cell_angle_gamma 90.00
_space_group_name_H-M_alt 'P 4/m m m'
_space_group_IT_number 123
_space_group_name_Hall '-P 4 2'
loop_
_atom_site_label
_atom_site_fract_x
_atom_site_fract_y
_atom_site_fract_z
_atom_site_occupancy
K1 0.000 0.000 0.000 1
Rb1 0.000 0.000 0.500 1
Zr1 0.500 0.500 0.500 1
I1 0.000 0.500 0.000 1
```